# 1
! LiInNi2H, relaxed, DFT PBE; values from VASP
! ρ   7.24 Mg/m³
! D(E_F)   1.2 states/eV per cell
! Total moment   0.0 μB/f.u.
&SYSTEM
  ibrav = 0, nat = 5, ntyp = 4
/
ATOMIC_SPECIES
Li 6.94 Li.upf
In 114.82 In.upf
Ni 58.69 Ni.upf
H 1.01 H.upf
ATOMIC_POSITIONS crystal
Li 0.000 0.000 0.000
In 0.500 0.500 0.000
Ni 0.000 0.500 0.500
Ni 0.500 0.000 0.500
H 0.000 0.000 0.500
CELL_PARAMETERS angstrom
3.749 0.000 0.000
0.000 3.749 0.000
0.000 0.000 3.917

***

# 2
! CaLa2Tc, relaxed, DFT PBE; values from VASP
! Energy relative to the lowest polymorph listed for this composition   7.93 kcal/mol of atoms
! ρ   6.46 Mg/m³
! Energy of formation   413 meV/atom
! D(E_F)   10.2 states/eV per cell
! Total moment   0.0 μB/f.u.
&SYSTEM
  ibrav = 0, nat = 8, ntyp = 3
/
ATOMIC_SPECIES
Ca 40.08 Ca.upf
La 138.91 La.upf
Tc 98.00 Tc.upf
ATOMIC_POSITIONS crystal
Ca 0.000 0.000 0.000
Ca 0.500 0.500 0.500
La 0.000 0.000 0.500
La 0.000 0.500 0.750
La 0.500 0.000 0.250
La 0.500 0.500 0.000
Tc 0.000 0.500 0.250
Tc 0.500 0.000 0.750
CELL_PARAMETERS angstrom
4.933 0.000 0.000
0.000 4.933 0.000
0.000 0.000 8.788

***

# 3
! Ta2AsPt, relaxed, DFT PBE; values from VASP
! ρ   14.93 Mg/m³
! Energy of formation   -231 meV/atom
! D(E_F)   3.6 states/eV per cell
! Total moment   0.0 μB/f.u.
&SYSTEM
  ibrav = 0, nat = 8, ntyp = 3
/
ATOMIC_SPECIES
Ta 180.95 Ta.upf
As 74.92 As.upf
Pt 195.08 Pt.upf
ATOMIC_POSITIONS crystal
Ta 0.000 0.000 0.000
Ta 0.000 0.500 0.263
Ta 0.500 0.000 0.263
Ta 0.500 0.500 0.000
As 0.000 0.500 0.768
As 0.500 0.000 0.768
Pt 0.000 0.000 0.496
Pt 0.500 0.500 0.496
CELL_PARAMETERS angstrom
3.532 0.000 0.000
0.000 4.597 0.000
0.000 0.000 8.659

***

# 4
! Be2V2Fe5Co, relaxed, DFT PBE; values from VASP
! ρ   6.98 Mg/m³
! Energy of formation   -39 meV/atom
! D(E_F)   15.8 states/eV per cell
! Total moment   7.8 μB/f.u.
&SYSTEM
  ibrav = 0, nat = 20, ntyp = 4
/
ATOMIC_SPECIES
Be 9.01 Be.upf
V 50.94 V.upf
Fe 55.84 Fe.upf
Co 58.93 Co.upf
ATOMIC_POSITIONS crystal
Be 0.121 0.379 0.000
Be 0.379 0.879 0.000
Be 0.621 0.121 0.000
Be 0.879 0.621 0.000
V 0.175 0.675 0.000
V 0.325 0.175 0.000
V 0.675 0.825 0.000
V 0.825 0.325 0.000
Fe 0.000 0.500 0.500
Fe 0.067 0.208 0.500
Fe 0.208 0.933 0.500
Fe 0.292 0.433 0.500
Fe 0.433 0.708 0.500
Fe 0.500 0.000 0.500
Fe 0.567 0.292 0.500
Fe 0.708 0.567 0.500
Fe 0.792 0.067 0.500
Fe 0.933 0.792 0.500
Co 0.000 0.000 0.000
Co 0.500 0.500 0.000
CELL_PARAMETERS angstrom
8.239 0.000 0.000
0.000 8.239 0.000
0.000 0.000 3.213

***

# 5
! ScTa4Te8, relaxed, DFT PBE; values from VASP
! ρ   8.43 Mg/m³
! E_form (uncorrected)   -0.3287 eV per atom
! D(E_F)   5.6 states/eV per cell
! Total moment   0.0 μB/f.u.
&SYSTEM
  ibrav = 0, nat = 13, ntyp = 3
/
ATOMIC_SPECIES
Sc 44.96 Sc.upf
Ta 180.95 Ta.upf
Te 127.60 Te.upf
ATOMIC_POSITIONS crystal
Sc 0.000 0.000 0.000
Ta 0.000 0.000 0.500
Ta 0.000 0.500 0.000
Ta 0.500 0.000 0.000
Ta 0.500 0.500 0.500
Te 0.250 0.250 0.250
Te 0.254 0.254 0.741
Te 0.254 0.741 0.254
Te 0.259 0.746 0.746
Te 0.741 0.254 0.254
Te 0.746 0.259 0.746
Te 0.746 0.746 0.259
Te 0.750 0.750 0.750
CELL_PARAMETERS angstrom
3.777 2.181 7.132
-3.777 2.181 7.132
0.000 -4.361 7.132

***

# 6
! KEr3Se4, relaxed, DFT PBE; values from VASP
! ρ   6.84 Mg/m³
! E_form (uncorrected)   -1.7196 eV per atom
! D(E_F)   6.5 states/eV per cell
! Total moment   0.0 μB/f.u.
&SYSTEM
  ibrav = 0, nat = 16, ntyp = 3
/
ATOMIC_SPECIES
K 39.10 K.upf
Er 167.26 Er.upf
Se 78.96 Se.upf
ATOMIC_POSITIONS crystal
K 0.333 0.667 0.250
K 0.667 0.333 0.750
Er 0.000 0.000 0.000
Er 0.000 0.000 0.500
Er 0.333 0.667 0.614
Er 0.333 0.667 0.886
Er 0.667 0.333 0.114
Er 0.667 0.333 0.386
Se 0.000 0.000 0.169
Se 0.000 0.000 0.331
Se 0.000 0.000 0.669
Se 0.000 0.000 0.831
Se 0.333 0.667 0.057
Se 0.333 0.667 0.443
Se 0.667 0.333 0.557
Se 0.667 0.333 0.943
CELL_PARAMETERS angstrom
4.106 0.000 0.000
-2.053 3.556 0.000
0.000 0.000 28.483

***

# 7
! In8Ag2Au3, relaxed, DFT PBE; values from VASP
! ρ   9.14 Mg/m³
! Energy of formation   -95 meV/atom
! D(E_F)   3.5 states/eV per cell
! Total moment   0.0 μB/f.u.
&SYSTEM
  ibrav = 0, nat = 13, ntyp = 3
/
ATOMIC_SPECIES
In 114.82 In.upf
Ag 107.87 Ag.upf
Au 196.97 Au.upf
ATOMIC_POSITIONS crystal
In 0.124 0.876 0.000
In 0.134 0.388 0.500
In 0.370 0.630 0.000
In 0.388 0.134 0.500
In 0.612 0.866 0.500
In 0.630 0.370 0.000
In 0.866 0.612 0.500
In 0.876 0.124 0.000
Ag 0.244 0.756 0.500
Ag 0.756 0.244 0.500
Au 0.000 0.000 0.500
Au 0.268 0.268 0.000
Au 0.732 0.732 0.000
CELL_PARAMETERS angstrom
4.908 -6.708 0.000
4.908 6.708 0.000
0.000 0.000 4.760

***

Result set for E: -20.64 -41.14 -70.64 -151.00 -83.15 -84.96 -38.68 eV/cell, one per record in the order listed.